# 1
Ac2Pr5Y4 | Alexandria via LeMat-Bulk | PBE | optimized geometry; calculated total energy = -5.24 eV/atom; energy relative to the lowest polymorph listed for this composition = 0.0000 eV/atom; DFT formation energy = 0.0272 eV/atom; SG = P-1
1.0
-5.793 -2.209 -1.572
0.389 -1.266 -8.195
9.592 -3.608 8.522
Ac Pr Y
2 5 4
direct
0.869 0.183 0.230 Ac
0.131 0.817 0.770 Ac
0.407 0.455 0.316 Pr
0.593 0.545 0.684 Pr
0.500 0.000 0.500 Pr
0.771 0.631 0.045 Pr
0.229 0.369 0.955 Pr
0.041 0.265 0.590 Y
0.959 0.735 0.410 Y
0.320 0.906 0.139 Y
0.680 0.094 0.861 Y


# 2
HgMoOs2 | Alexandria via LeMat-Bulk | PBE | optimized geometry; calculated total energy = -8.00 eV/atom; DFT formation energy = 0.3981 eV/atom; SG = R-3m
1.0
-5.354 3.442 -7.219
-7.345 1.939 -5.909
-6.786 4.569 -5.070
Hg Mo Os
1 1 2
direct
0.250 0.250 0.250 Hg
0.750 0.750 0.750 Mo
0.008 0.008 0.008 Os
0.492 0.492 0.492 Os


# 3
Ba2GdCl | Alexandria via LeMat-Bulk | PBE | optimized geometry; calculated total energy = -5.48 eV/atom; raw formation energy = -52.11 kJ/mol of atoms; SG = R-3m
1.0
3.959 0.000 0.000
1.979 3.428 0.000
1.979 1.143 12.013
Gd Ba Cl
1 2 1
direct
0.000 0.000 0.000 Gd
0.102 0.102 0.693 Ba
0.898 0.898 0.307 Ba
0.500 0.500 0.500 Cl


# 4
PtW3 | Alexandria via LeMat-Bulk | PBE | optimized geometry; calculated total energy = -11.23 eV/atom; DFT formation energy = -0.0022 eV/atom; SG = I4/mmm
1.0
-6.317 -3.981 4.030
-5.095 0.812 6.737
3.826 2.960 -6.971
Pt W
2 6
direct
0.375 0.375 0.000 Pt
0.625 0.625 0.000 Pt
0.500 0.000 0.500 W
0.122 0.122 0.000 W
0.878 0.878 0.000 W
0.750 0.250 0.500 W
0.250 0.750 0.500 W
0.000 0.500 0.500 W


# 5
Ga2AgPb | Alexandria via LeMat-Bulk | PBE | optimized geometry; calculated total energy = -3.02 eV/atom; DFT formation energy = 0.1334 eV/atom; SG = P4/mmm
1.0
4.247 0.000 0.000
0.000 4.547 0.000
0.000 0.000 4.547
Pb Ga Ag
1 2 1
direct
0.500 0.500 0.500 Pb
0.000 0.000 0.500 Ga
0.000 0.500 0.000 Ga
0.500 0.000 0.000 Ag


# 6
Zr8C6O | Alexandria via LeMat-Bulk | PBE | optimized geometry; calculated total energy = -9.16 eV/atom; raw formation energy = -56.40 kJ/mol of atoms; SG = P-3
1.0
3.439 0.000 0.000
0.000 7.590 -4.382
0.000 0.000 8.764
Zr C O
8 6 1
direct
0.744 0.969 0.325 Zr
0.744 0.675 0.644 Zr
0.744 0.356 0.031 Zr
0.256 0.031 0.675 Zr
0.256 0.325 0.356 Zr
0.256 0.644 0.969 Zr
0.749 0.333 0.667 Zr
0.251 0.667 0.333 Zr
0.754 0.663 0.139 C
0.754 0.861 0.525 C
0.754 0.475 0.337 C
0.246 0.337 0.861 C
0.246 0.139 0.475 C
0.246 0.525 0.663 C
0.500 0.000 0.000 O


# 7
Sr3Hg | Alexandria via LeMat-Bulk | PBE | optimized geometry; calculated total energy = -1.58 eV/atom; energy relative to the lowest polymorph listed for this composition = 0.0362 eV/atom; DFT formation energy = -0.2465 eV/atom; SG = Cmcm
1.0
-1.517 8.766 0.652
-7.839 -3.529 -2.380
-1.130 -0.531 4.509
Hg Sr
2 6
direct
0.721 0.279 0.750 Hg
0.279 0.721 0.250 Hg
0.115 0.885 0.750 Sr
0.885 0.115 0.250 Sr
0.562 0.819 0.750 Sr
0.438 0.181 0.250 Sr
0.819 0.562 0.250 Sr
0.181 0.438 0.750 Sr


# 8
Er3ScPd4 | Alexandria via LeMat-Bulk | PBE | optimized geometry; calculated total energy = -6.01 eV/atom; DFT formation energy = -0.9111 eV/atom; SG = Pmmm
1.0
3.372 0.000 0.000
0.000 4.903 0.000
0.000 0.000 9.816
Sc Pd Er
1 4 3
direct
0.500 0.500 0.000 Sc
0.000 0.000 0.500 Pd
0.000 0.500 0.762 Pd
0.000 0.000 0.000 Pd
0.000 0.500 0.238 Pd
0.500 0.000 0.246 Er
0.500 0.500 0.500 Er
0.500 0.000 0.754 Er


# 9
AlCr5 | Alexandria via LeMat-Bulk | PBE | optimized geometry; calculated total energy = -8.68 eV/atom; energy relative to the lowest polymorph listed for this composition = 0.0134 eV/atom; DFT formation energy = -0.0366 eV/atom; SG = Cmmm
1.0
-2.682 -0.343 -1.157
0.820 -3.999 -0.715
-2.630 0.547 5.934
Cr Al
5 1
direct
0.500 0.827 0.653 Cr
0.000 0.664 0.328 Cr
0.500 0.500 0.000 Cr
0.000 0.336 0.672 Cr
0.500 0.173 0.347 Cr
0.000 0.000 0.000 Al


# 10
YSc4 | Alexandria via LeMat-Bulk | PBE | optimized geometry; calculated total energy = -6.30 eV/atom; energy relative to the lowest polymorph listed for this composition = 0.0000 eV/atom; DFT formation energy = 0.0589 eV/atom; SG = I4/mmm
1.0
-1.410 0.081 3.019
1.639 -2.777 0.841
8.781 7.805 2.053
Sc Y
4 1
direct
0.394 0.394 0.788 Sc
0.798 0.798 0.596 Sc
0.202 0.202 0.404 Sc
0.606 0.606 0.212 Sc
0.000 0.000 0.000 Y


# 11
AgRhAuO4 | Alexandria via LeMat-Bulk | PBE | optimized geometry; calculated total energy = -5.05 eV/atom; raw formation energy = -27.71 kJ/mol of atoms; SG = Imma
1.0
-3.795 -4.715 -1.253
2.509 0.365 6.275
-4.469 3.990 -1.479
Ag Rh Au O
2 2 2 8
direct
0.857 0.713 0.107 Ag
0.143 0.287 0.893 Ag
0.500 0.000 0.500 Rh
0.500 0.000 0.000 Rh
0.500 0.500 0.500 Au
0.000 0.500 0.500 Au
0.698 0.395 0.659 O
0.274 0.955 0.227 O
0.681 0.955 0.227 O
0.698 0.395 0.236 O
0.302 0.605 0.764 O
0.726 0.045 0.773 O
0.319 0.045 0.773 O
0.302 0.605 0.341 O


# 12
Hf3ZrRh | Alexandria via LeMat-Bulk | PBE | optimized geometry; calculated total energy = -7.78 eV/atom; DFT formation energy = 1.3770 eV/atom; SG = Pm-3m
1.0
5.004 0.000 0.000
0.000 5.004 0.000
0.000 0.000 5.004
Rh Hf Zr
1 3 1
direct
0.500 0.500 0.500 Rh
0.000 0.500 0.000 Hf
0.000 0.000 0.500 Hf
0.500 0.000 0.000 Hf
0.000 0.000 0.000 Zr


Number 1: V 36.2 Å³ per atom. Number 2: V 16.3 Å³ per atom. Number 3: V 40.8 Å³ per atom. Number 4: V 15.9 Å³ per atom. Number 5: V 22.0 Å³ per atom. Number 6: V 15.2 Å³ per atom. Number 7: V 44.9 Å³ per atom. Number 8: V 20.3 Å³ per atom. Number 9: V 12.5 Å³ per atom. Number 10: V 26.0 Å³ per atom. Number 11: V 14.1 Å³ per atom. Number 12: V 25.1 Å³ per atom.